Record 1
Compound: MgTiF5
Source: the Alexandria database
Functional: GGA-PBE
Structure: optimized geometry

Values from the calculation:
Space group: P2_1/c, No. 14
Energy relative to the elements, uncorrected, meV per atom: -3359
Excess energy over the best structure of this formula in the dataset, eV/atom: 0.0095

Cell and atoms, written as CIF:
```
data_MgTiF5
_cell_length_a 9.7776
_cell_length_b 5.2530
_cell_length_c 7.4891
_cell_angle_alpha 71.49
_cell_angle_beta 90.00
_cell_angle_gamma 90.00
_symmetry_space_group_name_H-M 'P 1'
_symmetry_Int_Tables_number 1
loop_
_symmetry_equiv_pos_as_xyz
'x,y,z'
loop_
_atom_site_label
_atom_site_fract_x
_atom_site_fract_y
_atom_site_fract_z
_atom_site_occupancy
F1 0.6372 0.7895 0.6666 1
F2 0.1372 0.2105 0.8334 1
Mg1 0.5121 0.4809 0.7238 1
Ti1 0.2578 0.9006 0.8750 1
F3 0.3942 0.6419 0.4890 1
F4 0.4009 0.1561 0.7778 1
Mg2 0.0121 0.5191 0.7762 1
F5 0.9009 0.8439 0.7222 1
Ti2 0.7422 0.0994 0.1250 1
F6 0.6118 0.3912 0.1135 1
Ti3 0.2422 0.9006 0.3750 1
Mg3 0.4879 0.5191 0.2762 1
F7 0.6746 0.1840 0.8533 1
F8 0.5991 0.8439 0.2222 1
F9 0.1118 0.6088 0.3865 1
Mg4 0.9879 0.4809 0.2238 1
F10 0.0991 0.1561 0.2778 1
F11 0.1746 0.8160 0.6467 1
F12 0.3254 0.8160 0.1467 1
Ti4 0.7578 0.0994 0.6250 1
F13 0.8942 0.3581 0.0110 1
F14 0.3628 0.2105 0.3334 1
F15 0.8882 0.3912 0.6135 1
F16 0.6058 0.3581 0.5110 1
F17 0.3882 0.6088 0.8865 1
F18 0.8254 0.1840 0.3533 1
F19 0.1058 0.6419 0.9890 1
F20 0.8628 0.7895 0.1666 1
```



Record 2
Compound: Y3RuCl3
Source: the Alexandria database
Functional: GGA-PBE
Structure: optimized geometry

Values from the calculation:
Space group: P2_1/m, No. 11
Energy relative to the elements, uncorrected, meV per atom: -1450

Cell and atoms, written as CIF:
```
data_Y3RuCl3
_cell_length_a 4.0294
_cell_length_b 8.2806
_cell_length_c 11.6557
_cell_angle_alpha 89.52
_cell_angle_beta 90.00
_cell_angle_gamma 90.00
_symmetry_space_group_name_H-M 'P 1'
_symmetry_Int_Tables_number 1
loop_
_symmetry_equiv_pos_as_xyz
'x,y,z'
loop_
_atom_site_label
_atom_site_fract_x
_atom_site_fract_y
_atom_site_fract_z
_atom_site_occupancy
Ru1 0.7500 0.0489 0.5963 1
Y1 0.2500 0.2733 0.6009 1
Cl1 0.7500 0.6742 0.1513 1
Y2 0.2500 0.8435 0.6473 1
Y3 0.7500 0.7267 0.3991 1
Cl2 0.2500 0.3258 0.8487 1
Y4 0.7500 0.1565 0.3527 1
Cl3 0.7500 0.1208 0.0940 1
Ru2 0.2500 0.9511 0.4037 1
Y5 0.2500 0.8996 0.1684 1
Cl4 0.7500 0.5599 0.6254 1
Cl5 0.2500 0.4401 0.3746 1
Y6 0.7500 0.1004 0.8316 1
Cl6 0.2500 0.8792 0.9060 1
```



Record 3
Compound: FePdBr6
Source: the Alexandria database
Functional: GGA-PBE
Structure: optimized geometry

Values from the calculation:
Space group: C2/m, No. 12
Energy relative to the elements, uncorrected, meV per atom: -287

Cell and atoms, written as CIF:
```
data_FePdBr6
_cell_length_a 6.5217
_cell_length_b 6.9007
_cell_length_c 6.9007
_cell_angle_alpha 123.80
_cell_angle_beta 99.62
_cell_angle_gamma 99.62
_symmetry_space_group_name_H-M 'P 1'
_symmetry_Int_Tables_number 1
loop_
_symmetry_equiv_pos_as_xyz
'x,y,z'
loop_
_atom_site_label
_atom_site_fract_x
_atom_site_fract_y
_atom_site_fract_z
_atom_site_occupancy
Br1 0.2228 0.7793 0.7793 1
Br2 0.2602 0.1192 0.4057 1
Pd1 0.5000 0.5000 0.5000 1
Br3 0.2602 0.4057 0.1192 1
Fe1 0.0000 0.0000 0.0000 1
Br4 0.7772 0.2207 0.2207 1
Br5 0.7398 0.5943 0.8808 1
Br6 0.7398 0.8808 0.5943 1
```



Record 4
Compound: Y5Sb2C
Source: the Alexandria database
Functional: GGA-PBE
Structure: optimized geometry

Values from the calculation:
Space group: Cmcm, No. 63
Energy relative to the elements, uncorrected, meV per atom: -477

Cell and atoms, written as CIF:
```
data_Y5Sb2C
_cell_length_a 5.6702
_cell_length_b 5.9633
_cell_length_c 14.8261
_cell_angle_alpha 90.00
_cell_angle_beta 90.00
_cell_angle_gamma 118.39
_symmetry_space_group_name_H-M 'P 1'
_symmetry_Int_Tables_number 1
loop_
_symmetry_equiv_pos_as_xyz
'x,y,z'
loop_
_atom_site_label
_atom_site_fract_x
_atom_site_fract_y
_atom_site_fract_z
_atom_site_occupancy
C1 0.7561 0.5123 0.7500 1
Y1 0.9149 0.8299 0.8664 1
Sb1 0.7884 0.5768 0.4438 1
Y2 0.0851 0.1701 0.1336 1
Y3 0.9149 0.8299 0.6336 1
Y4 0.6063 0.2126 0.6334 1
Y5 0.3937 0.7874 0.1334 1
C2 0.2439 0.4877 0.2500 1
Y6 0.2639 0.5277 0.7500 1
Y7 0.6063 0.2126 0.8666 1
Sb2 0.2116 0.4232 0.5562 1
Y8 0.0851 0.1701 0.3664 1
Sb3 0.7884 0.5768 0.0562 1
Sb4 0.2116 0.4232 0.9438 1
Y9 0.7361 0.4723 0.2500 1
Y10 0.3937 0.7874 0.3666 1
```



Record 5
Compound: Tl7AsS6
Source: the Alexandria database
Functional: GGA-PBE
Structure: optimized geometry

Values from the calculation:
Space group: Ibam, No. 72
Energy relative to the elements, uncorrected, meV per atom: -262

Cell and atoms, written as CIF:
```
data_Tl7AsS6
_cell_length_a 7.6906
_cell_length_b 11.5173
_cell_length_c 11.5173
_cell_angle_alpha 72.56
_cell_angle_beta 70.50
_cell_angle_gamma 70.50
_symmetry_space_group_name_H-M 'P 1'
_symmetry_Int_Tables_number 1
loop_
_symmetry_equiv_pos_as_xyz
'x,y,z'
loop_
_atom_site_label
_atom_site_fract_x
_atom_site_fract_y
_atom_site_fract_z
_atom_site_occupancy
S1 0.9270 0.6926 0.3074 1
S2 0.0091 0.9189 0.7334 1
As1 0.7500 0.2500 0.2500 1
S3 0.6614 0.2666 0.0811 1
S4 0.9909 0.0811 0.2666 1
S5 0.0730 0.3074 0.6926 1
Tl1 0.2259 0.9757 0.0243 1
Tl2 0.1521 0.3096 0.9231 1
Tl3 0.7500 0.7500 0.7500 1
S6 0.4270 0.8074 0.1926 1
As2 0.2500 0.7500 0.7500 1
Tl4 0.6521 0.4231 0.8096 1
Tl5 0.8849 0.1904 0.5769 1
Tl6 0.6151 0.9231 0.3096 1
S7 0.4909 0.7666 0.5811 1
S8 0.5091 0.2334 0.4189 1
Tl7 0.2500 0.2500 0.2500 1
S9 0.3386 0.7334 0.9189 1
Tl8 0.7741 0.0243 0.9757 1
Tl9 0.1151 0.8096 0.4231 1
S10 0.8386 0.4189 0.2334 1
Tl10 0.2741 0.4757 0.5243 1
Tl11 0.8479 0.6904 0.0769 1
S11 0.1614 0.5811 0.7666 1
Tl12 0.7259 0.5243 0.4757 1
Tl13 0.3849 0.0769 0.6904 1
S12 0.5730 0.1926 0.8074 1
Tl14 0.3479 0.5769 0.1904 1
```



Record 6
Compound: ScAlTc3
Source: the Alexandria database
Functional: GGA-PBE
Structure: optimized geometry

Values from the calculation:
Space group: Pm-3m, No. 221
Formation enthalpy at 0 K, eV per atom: 1.654
Excess energy over the best structure of this formula in the dataset, eV/atom: 0.7625

Cell and atoms, written as CIF:
```
data_ScAlTc3
_cell_length_a 4.5792
_cell_length_b 4.5792
_cell_length_c 4.5792
_cell_angle_alpha 90.00
_cell_angle_beta 90.00
_cell_angle_gamma 90.00
_symmetry_space_group_name_H-M 'P 1'
_symmetry_Int_Tables_number 1
loop_
_symmetry_equiv_pos_as_xyz
'x,y,z'
loop_
_atom_site_label
_atom_site_fract_x
_atom_site_fract_y
_atom_site_fract_z
_atom_site_occupancy
Tc1 0.0000 0.5000 0.0000 1
Tc2 0.0000 0.0000 0.5000 1
Sc1 0.0000 0.0000 0.0000 1
Tc3 0.5000 0.0000 0.0000 1
Al1 0.5000 0.5000 0.5000 1
```



Record 7
Compound: CaTaFe2Pd
Source: the Alexandria database
Functional: GGA-PBE
Structure: optimized geometry

Values from the calculation:
Space group: P4/mmm, No. 123
Formation enthalpy at 0 K, eV per atom: 1.286

Cell and atoms, written as CIF:
```
data_CaTaFe2Pd
_cell_length_a 4.4693
_cell_length_b 5.6666
_cell_length_c 4.4693
_cell_angle_alpha 90.00
_cell_angle_beta 90.00
_cell_angle_gamma 90.00
_symmetry_space_group_name_H-M 'P 1'
_symmetry_Int_Tables_number 1
loop_
_symmetry_equiv_pos_as_xyz
'x,y,z'
loop_
_atom_site_label
_atom_site_fract_x
_atom_site_fract_y
_atom_site_fract_z
_atom_site_occupancy
Pd1 0.5000 0.5000 0.5000 1
Ta1 0.0000 0.0000 0.0000 1
Ca1 0.0000 0.5000 0.0000 1
Fe1 0.5000 0.0000 0.0000 1
Fe2 0.0000 0.0000 0.5000 1
```



Record 8
Compound: Mg2In4Sn3
Source: the Alexandria database
Functional: GGA-PBE
Structure: optimized geometry

Values from the calculation:
Space group: C2/c, No. 15
Formation enthalpy at 0 K, eV per atom: -0.019

Cell and atoms, written as CIF:
```
data_Mg2In4Sn3
_cell_length_a 5.5624
_cell_length_b 9.4256
_cell_length_c 9.4256
_cell_angle_alpha 73.78
_cell_angle_beta 82.39
_cell_angle_gamma 82.39
_symmetry_space_group_name_H-M 'P 1'
_symmetry_Int_Tables_number 1
loop_
_symmetry_equiv_pos_as_xyz
'x,y,z'
loop_
_atom_site_label
_atom_site_fract_x
_atom_site_fract_y
_atom_site_fract_z
_atom_site_occupancy
In1 0.8769 0.4042 0.1639 1
Mg1 0.8148 0.2654 0.5225 1
Mg2 0.3148 0.5225 0.2654 1
Sn1 0.7500 0.6148 0.3852 1
Mg3 0.6852 0.4775 0.7346 1
Sn2 0.9265 0.0487 0.3085 1
In2 0.0218 0.8158 0.0705 1
Sn3 0.4265 0.3085 0.0487 1
Sn4 0.2500 0.3852 0.6148 1
In3 0.4782 0.9295 0.1842 1
In4 0.3769 0.1639 0.4042 1
Sn5 0.5735 0.6915 0.9513 1
Sn6 0.0735 0.9513 0.6915 1
In5 0.9782 0.1842 0.9295 1
In6 0.5218 0.0705 0.8158 1
Mg4 0.1852 0.7346 0.4775 1
In7 0.1231 0.5958 0.8361 1
In8 0.6231 0.8361 0.5958 1
```



Record 9
Compound: NaSiPtO4
Source: the Alexandria database
Functional: GGA-PBE
Structure: optimized geometry

Values from the calculation:
Space group: Cmcm, No. 63
Energy relative to the elements, uncorrected, meV per atom: -1427

Cell and atoms, written as CIF:
```
data_NaSiPtO4
_cell_length_a 5.3462
_cell_length_b 5.3462
_cell_length_c 6.5807
_cell_angle_alpha 90.00
_cell_angle_beta 90.00
_cell_angle_gamma 111.75
_symmetry_space_group_name_H-M 'P 1'
_symmetry_Int_Tables_number 1
loop_
_symmetry_equiv_pos_as_xyz
'x,y,z'
loop_
_atom_site_label
_atom_site_fract_x
_atom_site_fract_y
_atom_site_fract_z
_atom_site_occupancy
O1 0.7803 0.7883 0.7500 1
O2 0.2197 0.2117 0.2500 1
Si1 0.1210 0.8790 0.2500 1
Pt1 0.8032 0.1968 0.2500 1
Na1 0.5000 0.5000 0.0000 1
Si2 0.8790 0.1210 0.7500 1
Pt2 0.1968 0.8032 0.7500 1
O3 0.7883 0.7803 0.2500 1
O4 0.2312 0.7688 0.4510 1
O5 0.2117 0.2197 0.7500 1
Na2 0.5000 0.5000 0.5000 1
O6 0.7688 0.2312 0.5490 1
O7 0.7688 0.2312 0.9510 1
O8 0.2312 0.7688 0.0490 1
```



Record 10
Compound: BaHg2As2
Source: the Alexandria database
Functional: GGA-PBE
Structure: optimized geometry

Values from the calculation:
Space group: P4/mbm, No. 127
Formation enthalpy at 0 K, eV per atom: -0.113

Cell and atoms, written as CIF:
```
data_BaHg2As2
_cell_length_a 8.4310
_cell_length_b 8.4310
_cell_length_c 3.7397
_cell_angle_alpha 90.00
_cell_angle_beta 90.00
_cell_angle_gamma 90.00
_symmetry_space_group_name_H-M 'P 1'
_symmetry_Int_Tables_number 1
loop_
_symmetry_equiv_pos_as_xyz
'x,y,z'
loop_
_atom_site_label
_atom_site_fract_x
_atom_site_fract_y
_atom_site_fract_z
_atom_site_occupancy
As1 0.1424 0.3576 0.0000 1
Ba1 0.5000 0.5000 0.0000 1
As2 0.8576 0.6424 0.0000 1
Hg1 0.3527 0.1473 0.5000 1
Hg2 0.8527 0.3527 0.5000 1
Hg3 0.6473 0.8527 0.5000 1
Hg4 0.1473 0.6473 0.5000 1
As3 0.3576 0.8576 0.0000 1
Ba2 0.0000 0.0000 0.0000 1
As4 0.6424 0.1424 0.0000 1
```



| no. | spin magnetization (Bohr magnetons per cell) |
| --- | --- |
| 1 | 4.0 |
| 2 | 0.0 |
| 3 | 4.0 |
| 4 | 0.0 |
| 5 | 0.0 |
| 6 | 2.2 |
| 7 | 3.0 |
| 8 | 0.0 |
| 9 | 1.8 |
| 10 | 0.0 |